Computed, not measured: crystalline KTaMo2 at its relaxed geometry at the PBE level of DFT. Values from VASP.

The structure in Quantum ESPRESSO input format:
```
&SYSTEM
  ibrav = 0, nat = 4, ntyp = 3
/
ATOMIC_SPECIES
K 39.10 K.upf
Ta 180.95 Ta.upf
Mo 95.94 Mo.upf
CELL_PARAMETERS angstrom
2.830 0.000 0.000
0.000 4.547 0.000
-1.012 0.000 7.640
ATOMIC_POSITIONS crystal
K 0.000 0.000 0.000
Ta 0.500 0.000 0.500
Mo 0.168 0.500 0.647
Mo 0.832 0.500 0.353
```

Computed, not measured: crystalline KTaMo2 at its relaxed geometry at the PBE level of DFT. Values from VASP.

The structure in Quantum ESPRESSO input format:
```
&SYSTEM
  ibrav = 0, nat = 4, ntyp = 3
/
ATOMIC_SPECIES
K 39.10 K.upf
Ta 180.95 Ta.upf
Mo 95.94 Mo.upf
CELL_PARAMETERS angstrom
1.528 0.882 10.412
-1.528 0.882 10.412
0.000 -1.764 10.412
ATOMIC_POSITIONS crystal
K 0.000 0.000 0.000
Ta 0.771 0.771 0.771
Mo 0.233 0.233 0.233
Mo 0.505 0.505 0.505
```

Computed calculated formation energy (eV/atom) in order:
0.804; 0.817
Computed total energy (eV/atom) in order:
-7.849; -7.836